# 1
Compound: BC2
Source: Alexandria
Functional: PBE-GGA
Structure: optimized geometry

It has space group P1 (No. 1), with a = 2.5235 Å, b = 2.7002 Å, c = 3.7491 Å, α = 110.98°, β = 109.34° and γ = 90.00°. The asymmetric unit holds B at (0.0000, 0.0000, 0.0000), C at (0.1403, 0.6377, 0.2784) and C at (0.7592, 0.7597, 0.5205).

The value obtained for the energy of formation from the pure elements is 608 meV/atom. The value obtained for the energy relative to the lowest polymorph listed for this composition is 1.10 eV/f.u.

---

# 2
Compound: Ag2BiAs2
Source: Alexandria
Functional: PBE-GGA
Structure: optimized geometry

It has space group I4/mmm (No. 139), with a = 4.5513 Å, b = 4.5513 Å, c = 10.9202 Å, α = 90.00°, β = 90.00° and γ = 90.00°. The asymmetric unit holds Ag at (0.0000, 0.5000, 0.2500), Bi at (0.0000, 0.0000, 0.0000) and As at (0.0000, 0.0000, 0.3867).

The value obtained for the energy of formation from the pure elements is 228 meV/atom. The value obtained for the energy relative to the lowest polymorph listed for this composition is 0.26 eV/f.u.

---

# 3
Compound: LiTi2Pt4
Source: Alexandria
Functional: PBE-GGA
Structure: optimized geometry

It has space group Fmmm (No. 69), with a = 5.5876 Å, b = 7.5141 Å, c = 10.9192 Å, α = 90.00°, β = 90.00° and γ = 90.00°. The asymmetric unit holds Li at (0.0000, 0.0000, 0.0000), Ti at (0.0000, 0.0000, 0.3622), Pt at (0.2500, 0.2500, 0.0000) and Pt at (0.2500, 0.2500, 0.2500).

The value obtained for the energy of formation from the pure elements is -660 meV/atom. The value obtained for the energy relative to the lowest polymorph listed for this composition is 0.81 eV/f.u.

---

| no. | total magnetic moment (Bohr magnetons per cell) |
| --- | --- |
| 1 | 0.0 |
| 2 | 0.0 |
| 3 | 0.0 |